No. 1
A plane-wave DFT calculation with meta-GGA SCAN was carried out for Y3Zr at its PBEsol-relaxed geometry.

## Properties
Raw total energy = -113.66 eV per cell
DOS at the Fermi energy = 1.167 states/eV/atom
SG = Pm-3m
Formation energy = 0.14 eV/atom
Volume = 27.73 A^3/atom
Size of the total moment = 0.0 Bohr magnetons per cell
Relative energy among the computed polymorphs = 66.7 meV per atom

a b c (Å): 4.8047 4.8047 4.8047
angles (deg): 90.00 90.00 90.00
Sites, in units of the cell vectors:
1 Y 0.0000 0.0000 0.5000
2 Y 0.0000 0.5000 0.0000
3 Y 0.5000 0.0000 0.0000
4 Zr 0.5000 0.5000 0.5000

---

No. 2
A plane-wave DFT calculation with meta-GGA SCAN was carried out for Zr2ReTc at its PBEsol-relaxed geometry.

## Properties
Raw total energy = -168.06 eV per cell
DOS at the Fermi energy = 0.864 states/eV/atom
SG = Pmmm
Formation energy = -0.13 eV/atom
Volume = 17.05 A^3/atom
Size of the total moment = 0.0 Bohr magnetons per cell

a b c (Å): 3.2278 4.4216 4.7781
angles (deg): 90.00 90.00 90.00
Sites, in units of the cell vectors:
1 Zr 0.0000 0.0000 0.0000
2 Zr 0.5000 0.0000 0.5000
3 Re 0.0000 0.5000 0.5000
4 Tc 0.5000 0.5000 0.0000

---

No. 3
A plane-wave DFT calculation with meta-GGA SCAN was carried out for Li2NiP2O7 at its PBEsol-relaxed geometry.

## Properties
Raw total energy = -227.63 eV per cell
DOS at the Fermi energy = 0.000 states/eV/atom
SG = P2_1
Volume = 11.02 A^3/atom
Size of the total moment = 4.1 Bohr magnetons per cell
Relative energy among the computed polymorphs = 0.0 meV per atom
Formation energy (no corrections) = -2.37 eV/atom

a b c (Å): 4.9094 8.0959 7.0326
angles (deg): 90.00 108.92 90.00
Sites, in units of the cell vectors:
1 Li 0.1527 0.0000 0.4123
2 Li 0.3392 0.3283 0.8500
3 Li 0.6608 0.8283 0.1500
4 Li 0.8473 0.5000 0.5877
5 Ni 0.2942 0.6858 0.7795
6 Ni 0.7058 0.1858 0.2205
7 P 0.1062 0.9995 0.9816
8 P 0.2902 0.3909 0.4129
9 P 0.7098 0.8909 0.5871
10 P 0.8938 0.4995 0.0184
11 O 0.0794 0.4956 0.8798
12 O 0.1048 0.5207 0.2469
13 O 0.1155 0.2334 0.4034
14 O 0.2649 0.8360 0.9955
15 O 0.3043 0.1489 0.0164
16 O 0.3333 0.4809 0.6122
17 O 0.4193 0.8635 0.6186
18 O 0.5807 0.3635 0.3814
19 O 0.6667 0.9809 0.3878
20 O 0.6957 0.6489 0.9836
21 O 0.7351 0.3360 0.0045
22 O 0.8845 0.7334 0.5966
23 O 0.8952 0.0207 0.7531
24 O 0.9206 0.9956 0.1202